## BaScO2F (meta-GGA SCAN)

Data for a PBEsol-optimized structure of BaScO2F.

Raw formation energy   -3704.4 meV/atom
Crystal system   tetragonal
E_tot   -88.31 eV per formula unit

```
BaScO2F
1.0
-3.5516 2.1519 0.0702
-2.1529 -3.5509 -0.0726
0.0223 -0.0982 4.1452
Sc Ba O F
1 1 2 1
Cartesian
0.0000 0.0000 0.0000
-2.8411 -0.7486 2.0714
-1.0765 -1.7754 -0.0363
-1.7758 1.0760 0.0351
0.0112 -0.0491 2.0726
```